The following is a PBE calculation of an optimized crystal structure of Pa2CoSb, from the Alexandria database.

Unit cell a=6.210 b=3.758 c=8.172 alpha=90.00 beta=108.31 gamma=90.00
Atoms (fractional coordinates):
Pa: 0.139 0.250 0.376
Pa: 0.241 0.750 0.042
Pa: 0.759 0.250 0.958
Pa: 0.861 0.750 0.624
Co: 0.156 0.250 0.794
Co: 0.844 0.750 0.206
Sb: 0.393 0.750 0.694
Sb: 0.607 0.250 0.306

Properties
Its space-group type is P2_1/m, No. 11. The calculation puts the raw total energy at -7.970 eV per atom. The calculation puts the polymorph energy (0 for the lowest one) at 0.00 eV per formula unit. The uncorrected formation energy comes out at -0.4154 eV per atom. The volume comes out at 91 Å³/f.u. Its density of states at the Fermi level is 1.249 states/eV per atom.

---

The following is a PBE calculation of an optimized crystal structure of Cs3Rb2O, from the Alexandria database.

Unit cell a=8.831 b=9.005 c=13.655 alpha=103.61 beta=90.01 gamma=119.29
Atoms (fractional coordinates):
Cs: 0.045 0.203 0.334
Cs: 0.129 0.499 0.750
Cs: 0.344 0.798 0.167
Cs: 0.656 0.202 0.833
Cs: 0.871 0.501 0.250
Cs: 0.955 0.797 0.666
Rb: 0.228 0.304 0.083
Rb: 0.424 0.696 0.418
Rb: 0.576 0.304 0.582
Rb: 0.772 0.696 0.917
O: 0.181 0.501 0.250
O: 0.819 0.499 0.750

Properties
Its space-group type is P-1, No. 2. The calculation puts the raw total energy at -2.070 eV per atom. The calculation puts the polymorph energy (0 for the lowest one) at 0.00 eV per formula unit. The uncorrected formation energy comes out at -0.4947 eV per atom. The volume comes out at 456 Å³/f.u. Its density of states at the Fermi level is 0.632 states/eV per atom.

---

The following is a PBE calculation of an optimized crystal structure of Ac4TlIrN, from the Alexandria database.

Unit cell a=7.171 b=7.397 c=9.388 alpha=90.00 beta=109.15 gamma=90.00
Atoms (fractional coordinates):
Ac: 0.012 0.004 0.217
Ac: 0.012 0.496 0.217
Ac: 0.424 0.750 0.652
Ac: 0.446 0.750 0.069
Ac: 0.554 0.250 0.931
Ac: 0.576 0.250 0.348
Ac: 0.988 0.504 0.783
Ac: 0.988 0.996 0.783
Tl: 0.241 0.250 0.560
Tl: 0.759 0.750 0.440
Ir: 0.227 0.250 0.052
Ir: 0.773 0.750 0.948
N: 0.218 0.750 0.812
N: 0.782 0.250 0.188

Properties
Its space-group type is P2_1/m, No. 11. The calculation puts the raw total energy at -5.772 eV per atom. The uncorrected formation energy comes out at -0.6310 eV per atom. The volume comes out at 235 Å³/f.u. Its density of states at the Fermi level is 0.722 states/eV per atom.

---

The following is a PBE calculation of an optimized crystal structure of Tm4NiPd2, from the Alexandria database.

Unit cell a=8.363 b=8.363 c=8.363 alpha=33.46 beta=33.46 gamma=33.46
Atoms (fractional coordinates):
Tm: 0.123 0.123 0.123
Tm: 0.373 0.373 0.373
Tm: 0.627 0.627 0.627
Tm: 0.877 0.877 0.877
Ni: 0.000 0.000 0.000
Pd: 0.249 0.249 0.249
Pd: 0.751 0.751 0.751

Properties
Its space-group type is R-3m, No. 166. The calculation puts the raw total energy at -5.496 eV per atom. Its formation energy is -0.63 eV/atom. The volume comes out at 158 Å³/f.u. Its density of states at the Fermi level is 0.728 states/eV per atom.

---

The following is a PBE calculation of an optimized crystal structure of ReRuW, from the Alexandria database.

Unit cell a=2.748 b=2.748 c=11.991 alpha=90.00 beta=90.00 gamma=90.00
Atoms (fractional coordinates):
Re: 0.000 0.000 0.000
Re: 0.500 0.500 0.500
Ru: 0.000 0.000 0.349
Ru: 0.500 0.500 0.849
W: 0.000 0.000 0.680
W: 0.500 0.500 0.180

Properties
Its space-group type is I4mm, No. 107. The calculation puts the raw total energy at -11.517 eV per atom. Its formation energy is 0.04 eV/atom. The calculation puts the polymorph energy (0 for the lowest one) at 0.00 eV per formula unit. The volume comes out at 45 Å³/f.u. Its density of states at the Fermi level is 0.396 states/eV per atom.

---

The following is a PBE calculation of an optimized crystal structure of Zr2P2Au, from the Alexandria database.

Unit cell a=4.759 b=4.759 c=8.750 alpha=90.00 beta=90.00 gamma=90.00
Atoms (fractional coordinates):
Zr: 0.000 0.500 0.250
Zr: 0.000 0.500 0.750
Zr: 0.500 0.000 0.250
Zr: 0.500 0.000 0.750
P: 0.000 0.000 0.127
P: 0.000 0.000 0.873
P: 0.500 0.500 0.373
P: 0.500 0.500 0.627
Au: 0.000 0.000 0.500
Au: 0.500 0.500 0.000

Properties
Its space-group type is I4/mmm, No. 139. The calculation puts the raw total energy at -6.933 eV per atom. Its formation energy is -0.69 eV/atom. The calculation puts the polymorph energy (0 for the lowest one) at 0.96 eV per formula unit. The volume comes out at 99 Å³/f.u. Its density of states at the Fermi level is 0.541 states/eV per atom.

---

Table of size of the total moment (μB per formula unit), in record order: 0.00, 0.00, 0.00, 0.00, 0.00, 0.00